A plane-wave DFT calculation with PBEsol was carried out for a geometry-optimized CoCl2 structure.

formation energy (no corrections): -43.68 kJ/mol of atoms
VASP energy: -52.44 eV per cell

Geometry as CIF:
```
data_CoCl2
_chemical_formula_sum 'Co4 Cl8'
_symmetry_space_group_name_H-M 'C 1 2/m 1'
_symmetry_Int_Tables_number 12
_cell_length_a 12.6023
_cell_length_b 3.3065
_cell_length_c 8.6438
_cell_angle_alpha 90.00
_cell_angle_beta 130.92
_cell_angle_gamma 90.00
loop_
_symmetry_equiv_pos_as_xyz
'x,y,z'
'-x,-y,-z'
'-x,y,-z'
'x,-y,z'
'x+1/2,y+1/2,z'
'-x+1/2,-y+1/2,-z'
'-x+1/2,y+1/2,-z'
'x+1/2,-y+1/2,z'
loop_
_atom_site_label
_atom_site_type_symbol
_atom_site_fract_x
_atom_site_fract_y
_atom_site_fract_z
Co1 Co 0.2365 0.0000 0.1253
Cl1 Cl 0.0843 0.5000 0.8721
Cl2 Cl 0.2024 0.0000 0.6490
```